[1]
# Li8AlSe6

Crystalline Li8AlSe6 at its relaxed geometry (PBE-GGA, the Alexandria database).

symmetry: No. 31
total magnetic moment: 0.0002 μB/atom

The structure in POSCAR format:
```
Li8AlSe6
1.0
-7.438 2.117 1.447
-1.259 -6.189 2.584
3.045 3.673 10.281
Li Se Al
16 12 2
direct
0.553 0.784 0.177
0.927 0.212 0.174
0.760 0.228 0.843
0.240 0.272 0.343
0.740 0.500 0.020
0.073 0.712 0.674
0.760 0.772 0.843
0.447 0.716 0.677
0.553 0.216 0.177
0.260 0.000 0.520
0.605 0.500 0.448
0.240 0.728 0.343
0.395 0.000 0.948
0.927 0.788 0.174
0.073 0.288 0.674
0.447 0.284 0.677
0.260 0.000 0.738
0.758 0.741 0.614
0.723 0.000 0.024
0.506 0.500 0.862
0.011 0.000 0.359
0.277 0.500 0.524
0.740 0.500 0.238
0.758 0.259 0.614
0.989 0.500 0.859
0.242 0.759 0.114
0.494 0.000 0.362
0.242 0.241 0.114
0.245 0.500 0.969
0.755 0.000 0.469
```

=====

[2]
# Li3AlSe3

Crystalline Li3AlSe3 at its relaxed geometry (PBE-GGA, the Alexandria database).

symmetry: No. 14
polymorph energy (0 for the lowest one): 0.0 meV/atom
total magnetic moment: 0.0000 μB/atom

The structure in POSCAR format:
```
Li3AlSe3
1.0
6.807 0.000 0.000
0.000 7.588 -0.529
0.000 -0.013 11.635
Li Se Al
12 12 4
direct
0.215 0.650 0.163
0.280 0.423 0.392
0.720 0.577 0.608
0.811 0.863 0.841
0.189 0.137 0.159
0.220 0.423 0.892
0.780 0.577 0.108
0.311 0.137 0.659
0.785 0.350 0.837
0.285 0.650 0.663
0.689 0.863 0.341
0.715 0.350 0.337
0.547 0.608 0.821
0.466 0.107 0.865
0.534 0.893 0.135
0.064 0.734 0.974
0.034 0.107 0.365
0.564 0.266 0.526
0.453 0.392 0.179
0.047 0.392 0.679
0.966 0.893 0.635
0.936 0.266 0.026
0.953 0.608 0.321
0.436 0.734 0.474
0.113 0.826 0.444
0.387 0.826 0.944
0.613 0.174 0.056
0.887 0.174 0.556
```

=====

[3]
# LiAl3Se

Crystalline LiAl3Se at its relaxed geometry (PBE-GGA, the Alexandria database).

symmetry: No. 221
polymorph energy (0 for the lowest one): 0.0 meV/atom
total magnetic moment: 0.0000 μB/atom

The structure in POSCAR format:
```
LiAl3Se
1.0
4.628 0.000 0.000
0.000 4.628 0.000
0.000 0.000 4.628
Al Li Se
3 1 1
direct
0.500 0.000 0.000
0.000 0.500 0.000
0.000 0.000 0.500
0.000 0.000 0.000
0.500 0.500 0.500
```

=====

[4]
# LiAlSe

Crystalline LiAlSe at its relaxed geometry (PBE-GGA, the Alexandria database).

symmetry: No. 129
polymorph energy (0 for the lowest one): 275.1 meV/atom
total magnetic moment: 0.0000 μB/atom

The structure in POSCAR format:
```
LiAlSe
1.0
5.392 0.000 0.000
0.000 5.392 0.000
0.000 0.000 4.906
Al Li Se
2 2 2
direct
0.000 0.000 0.500
0.500 0.500 0.500
0.000 0.500 0.901
0.500 0.000 0.099
0.000 0.500 0.397
0.500 0.000 0.603
```

=====

[5]
# Li3AlSe

Crystalline Li3AlSe at its relaxed geometry (PBE-GGA, the Alexandria database).

symmetry: No. 221
polymorph energy (0 for the lowest one): 0.0 meV/atom
total magnetic moment: 0.0000 μB/atom

The structure in POSCAR format:
```
Li3AlSe
1.0
4.796 0.000 0.000
0.000 4.796 0.000
0.000 0.000 4.796
Se Li Al
1 3 1
direct
0.000 0.000 0.000
0.000 0.000 0.500
0.000 0.500 0.000
0.500 0.000 0.000
0.500 0.500 0.500
```

=====

[6]
# LiAl3Se

Crystalline LiAl3Se at its relaxed geometry (PBE-GGA, the Alexandria database).

symmetry: No. 221
polymorph energy (0 for the lowest one): 149.7 meV/atom
total magnetic moment: 0.0000 μB/atom

The structure in POSCAR format:
```
LiAl3Se
1.0
5.080 0.000 0.000
0.000 5.080 0.000
0.000 0.000 5.080
Se Li Al
1 1 3
direct
0.000 0.000 0.000
0.500 0.500 0.500
0.000 0.000 0.500
0.000 0.500 0.000
0.500 0.000 0.000
```

=====

[7]
# LiAlSe

Crystalline LiAlSe at its relaxed geometry (PBE-GGA, the Alexandria database).

symmetry: No. 107
polymorph energy (0 for the lowest one): 186.4 meV/atom
total magnetic moment: 0.0000 μB/atom

The structure in POSCAR format:
```
LiAlSe
1.0
5.903 0.004 -0.005
4.928 3.247 -0.013
0.974 0.298 3.229
Li Se Al
1 1 1
direct
0.322 0.322 0.678
0.648 0.648 0.352
0.030 0.030 0.970
```

=====

[8]
# Li3Al5Se12

Crystalline Li3Al5Se12 at its relaxed geometry (PBE-GGA, the Alexandria database).

symmetry: No. 230
total magnetic moment: 0.0000 μB/atom

The structure in POSCAR format:
```
Li3Al5Se12
1.0
13.348 0.000 0.000
-4.449 12.585 0.000
-4.449 -6.292 10.899
Li Se Al
12 48 20
direct
0.750 0.875 0.625
0.750 0.375 0.125
0.375 0.625 0.250
0.125 0.875 0.750
0.250 0.125 0.375
0.375 0.750 0.625
0.250 0.625 0.875
0.625 0.250 0.375
0.875 0.750 0.125
0.625 0.375 0.750
0.125 0.250 0.875
0.875 0.125 0.250
0.388 0.281 0.319
0.107 0.388 0.070
0.963 0.393 0.281
0.219 0.537 0.607
0.430 0.037 0.319
0.219 0.681 0.112
0.112 0.181 0.219
0.037 0.607 0.719
0.719 0.107 0.037
0.930 0.819 0.537
0.537 0.219 0.107
0.607 0.037 0.219
0.181 0.112 0.719
0.319 0.781 0.388
0.612 0.893 0.430
0.463 0.781 0.893
0.070 0.181 0.463
0.281 0.388 0.819
0.681 0.463 0.570
0.612 0.719 0.681
0.070 0.888 0.107
0.888 0.070 0.607
0.181 0.070 0.963
0.719 0.612 0.181
0.393 0.963 0.781
0.570 0.607 0.388
0.319 0.537 0.430
0.430 0.393 0.612
0.107 0.719 0.537
0.888 0.819 0.781
0.963 0.570 0.181
0.930 0.112 0.893
0.281 0.893 0.963
0.819 0.930 0.037
0.607 0.570 0.888
0.893 0.612 0.930
0.393 0.430 0.112
0.037 0.430 0.819
0.781 0.463 0.393
0.570 0.963 0.681
0.537 0.319 0.930
0.681 0.219 0.612
0.388 0.107 0.570
0.893 0.281 0.463
0.781 0.319 0.888
0.819 0.888 0.281
0.112 0.930 0.393
0.463 0.681 0.070
0.500 0.500 0.500
0.500 0.500 0.000
0.000 0.500 0.000
0.125 0.375 0.250
0.750 0.125 0.875
0.625 0.875 0.250
0.000 0.000 0.000
0.375 0.250 0.125
0.375 0.125 0.750
0.875 0.625 0.750
0.625 0.750 0.875
0.000 0.000 0.500
0.875 0.250 0.625
0.250 0.875 0.125
0.750 0.625 0.375
0.000 0.500 0.500
0.125 0.750 0.375
0.500 0.000 0.500
0.500 0.000 0.000
0.250 0.375 0.625
```

=====

[9]
# LiAlSe3

Crystalline LiAlSe3 at its relaxed geometry (PBE-GGA, the Alexandria database).

symmetry: No. 221
polymorph energy (0 for the lowest one): 0.0 meV/atom
total magnetic moment: 0.0000 μB/atom

The structure in POSCAR format:
```
LiAlSe3
1.0
-0.356 4.930 -0.402
-3.059 -0.536 -3.866
-3.886 -0.030 3.080
Se Li Al
3 1 1
direct
0.500 0.000 0.000
0.000 0.500 0.000
0.000 0.000 0.500
0.500 0.500 0.500
0.000 0.000 0.000
```

=====

[10]
# LiAlSe

Crystalline LiAlSe at its relaxed geometry (PBE-GGA, the Alexandria database).

symmetry: No. 216
polymorph energy (0 for the lowest one): 242.5 meV/atom
total magnetic moment: 0.0000 μB/atom

The structure in POSCAR format:
```
LiAlSe
1.0
4.426 0.000 0.000
2.213 3.833 0.000
2.213 1.278 3.614
Li Al Se
1 1 1
direct
0.750 0.750 0.750
0.500 0.500 0.500
0.000 0.000 0.000
```

=====

[11]
# Li3AlSe3

Crystalline Li3AlSe3 at its relaxed geometry (PBE-GGA, the Alexandria database).

symmetry: No. 12
polymorph energy (0 for the lowest one): 26.9 meV/atom
total magnetic moment: 0.0000 μB/atom

The structure in POSCAR format:
```
Li3AlSe3
1.0
7.093 -0.022 0.134
-3.180 6.340 0.134
-0.453 -0.731 6.649
Li Se Al
6 6 2
direct
0.819 0.181 0.500
0.245 0.755 0.000
0.556 0.556 0.313
0.444 0.444 0.687
0.181 0.819 0.500
0.755 0.245 0.000
0.875 0.875 0.229
0.518 0.842 0.735
0.842 0.518 0.735
0.158 0.482 0.265
0.125 0.125 0.771
0.482 0.158 0.265
0.182 0.182 0.135
0.818 0.818 0.865
```

=====

[12]
# Li4AlSe

Crystalline Li4AlSe at its relaxed geometry (PBE-GGA, the Alexandria database).

symmetry: No. 216
total magnetic moment: 0.0000 μB/atom

The structure in POSCAR format:
```
Li4AlSe
1.0
0.000 3.736 3.736
3.736 0.000 3.736
3.736 3.736 0.000
Li Se Al
4 1 1
direct
0.374 0.374 0.878
0.374 0.878 0.374
0.878 0.374 0.374
0.374 0.374 0.374
0.750 0.750 0.750
0.000 0.000 0.000
```

=====

| no. | formation energy (no corrections) (meV/atom) |
| --- | --- |
| 1 | -1064.2 |
| 2 | -1090.9 |
| 3 | 380.0 |
| 4 | -285.4 |
| 5 | -339.4 |
| 6 | 529.7 |
| 7 | -374.1 |
| 8 | -587.0 |
| 9 | -286.5 |
| 10 | -318.0 |
| 11 | -1064.0 |
| 12 | -59.7 |